! SiTcCBr2 | Alexandria via LeMat-Bulk | SCAN | single point on PBEsol structure; values from VASP
&SYSTEM
  ibrav = 0, nat = 5, ntyp = 4
/
ATOMIC_SPECIES
Si 28.09 Si.upf
Tc 98.00 Tc.upf
C 12.01 C.upf
Br 79.90 Br.upf
CELL_PARAMETERS angstrom
4.631 0.000 0.000
0.000 4.631 0.000
0.000 0.000 3.662
ATOMIC_POSITIONS crystal
Si 0.000 0.000 0.000
Tc 0.500 0.500 0.000
C 0.000 0.000 0.500
Br 0.000 0.500 0.500
Br 0.500 0.000 0.500
! Space group: P4/mmm, No. 123
! Formation energy from raw total energies, kJ/mol of formula units: 827
! D(E_F), states/eV per cell: 2.52
! Size of the total moment, μB/f.u.: 3.12


! Ti2SiCBr | Alexandria via LeMat-Bulk | SCAN | single point on PBEsol structure; values from VASP
&SYSTEM
  ibrav = 0, nat = 5, ntyp = 4
/
ATOMIC_SPECIES
Ti 47.87 Ti.upf
Si 28.09 Si.upf
C 12.01 C.upf
Br 79.90 Br.upf
CELL_PARAMETERS angstrom
4.758 0.000 0.000
0.000 4.758 0.000
0.000 0.000 3.543
ATOMIC_POSITIONS crystal
Ti 0.000 0.500 0.000
Ti 0.500 0.000 0.000
Si 0.000 0.000 0.000
C 0.000 0.000 0.500
Br 0.500 0.500 0.500
! Space group: P4/mmm, No. 123
! Formation energy from raw total energies, kJ/mol of formula units: 309
! D(E_F), states/eV per cell: 4.15
! Size of the total moment, μB/f.u.: 0.03


! SnC3Br | Alexandria via LeMat-Bulk | SCAN | single point on PBEsol structure; values from VASP
&SYSTEM
  ibrav = 0, nat = 5, ntyp = 3
/
ATOMIC_SPECIES
Sn 118.71 Sn.upf
C 12.01 C.upf
Br 79.90 Br.upf
CELL_PARAMETERS angstrom
4.060 0.000 0.000
0.000 4.060 0.000
0.000 0.000 4.060
ATOMIC_POSITIONS crystal
Sn 0.000 0.000 0.000
C 0.000 0.500 0.500
C 0.500 0.000 0.500
C 0.500 0.500 0.000
Br 0.500 0.500 0.500
! Space group: Pm-3m, No. 221
! Formation energy from raw total energies, kJ/mol of formula units: 1672
! D(E_F), states/eV per cell: 3.05
! Size of the total moment, μB/f.u.: 0.00


! Sn2CBr | Alexandria via LeMat-Bulk | SCAN | single point on PBEsol structure; values from VASP
&SYSTEM
  ibrav = 0, nat = 4, ntyp = 3
/
ATOMIC_SPECIES
Sn 118.71 Sn.upf
C 12.01 C.upf
Br 79.90 Br.upf
CELL_PARAMETERS angstrom
0.000 3.430 3.430
3.430 0.000 3.430
3.430 3.430 0.000
ATOMIC_POSITIONS crystal
Sn 0.250 0.250 0.250
Sn 0.750 0.750 0.750
C 0.000 0.000 0.000
Br 0.500 0.500 0.500
! Space group: Fm-3m, No. 225
! Formation energy from raw total energies, kJ/mol of formula units: 554
! D(E_F), states/eV per cell: 2.44
! Size of the total moment, μB/f.u.: 0.00


! TbCBr | Alexandria via LeMat-Bulk | SCAN | single point on PBEsol structure; values from VASP
&SYSTEM
  ibrav = 0, nat = 6, ntyp = 3
/
ATOMIC_SPECIES
Tb 158.93 Tb.upf
C 12.01 C.upf
Br 79.90 Br.upf
CELL_PARAMETERS angstrom
3.459 -1.874 0.000
3.459 1.874 0.000
-1.629 0.000 10.100
ATOMIC_POSITIONS crystal
Tb 0.089 0.089 0.355
Tb 0.911 0.911 0.645
C 0.412 0.412 0.463
C 0.588 0.588 0.537
Br 0.296 0.296 0.829
Br 0.704 0.704 0.171
! Space group: C2/m, No. 12
! Formation energy from raw total energies, kJ/mol of formula units: -361
! D(E_F), states/eV per cell: 1.40
! Size of the total moment, μB/f.u.: 0.00


! Te2CBr | Alexandria via LeMat-Bulk | SCAN | single point on PBEsol structure; values from VASP
&SYSTEM
  ibrav = 0, nat = 8, ntyp = 3
/
ATOMIC_SPECIES
Te 127.60 Te.upf
C 12.01 C.upf
Br 79.90 Br.upf
CELL_PARAMETERS angstrom
-3.493 3.493 3.917
3.493 -3.493 3.917
3.493 3.493 -3.917
ATOMIC_POSITIONS crystal
Te 0.020 0.625 0.895
Te 0.375 0.270 0.395
Te 0.730 0.125 0.105
Te 0.875 0.980 0.605
C 0.000 0.000 0.000
C 0.750 0.250 0.500
Br 0.250 0.750 0.500
Br 0.500 0.500 0.000
! Space group: I-42d, No. 122
! Formation energy from raw total energies, kJ/mol of formula units: 342
! D(E_F), states/eV per cell: 5.37
! Size of the total moment, μB/f.u.: 0.00